Record 1
Below is a geometry-optimized Ga2PtAu structure, with properties calculated at the GGA-PBE level.

The structure in POSCAR format:
```
Ga2PtAu
1.0
1.406 0.812 10.401
-1.406 0.812 10.401
0.000 -1.624 10.401
Ga Pt Au
2 1 1
direct
0.082 0.082 0.082
0.918 0.918 0.918
0.000 0.000 0.000
0.500 0.500 0.500
```

Volume = 71.24 Å³/cell
Energy of formation from the pure elements = -8.2 kJ/mol of atoms
Energy above the most stable polymorph in this dataset = 0.351 eV/atom
Density = 12.39 g/cm3
Fermi-level density of states = 1.24 states/eV per cell

Record 2
Below is a geometry-optimized GaPtAu2 structure, with properties calculated at the GGA-PBE level.

The structure in POSCAR format:
```
GaPtAu2
1.0
-2.972 2.972 5.851
2.972 -2.972 5.851
2.972 2.972 -5.851
Ga Pt Au
2 2 4
direct
0.000 0.000 0.000
0.750 0.250 0.500
0.250 0.750 0.500
0.500 0.500 0.000
0.114 0.625 0.989
0.375 0.364 0.489
0.636 0.125 0.011
0.875 0.886 0.511
```

Volume = 206.70 Å³/cell
Energy of formation from the pure elements = 44.2 kJ/mol of atoms
Density = 10.58 g/cm3
Fermi-level density of states = 5.34 states/eV per cell

Record 3
Below is a geometry-optimized Ga4PtAu2 structure, with properties calculated at the GGA-PBE level.

The structure in POSCAR format:
```
Ga4PtAu2
1.0
6.522 -1.756 0.000
6.522 1.756 0.000
-2.836 0.000 5.658
Ga Pt Au
4 1 2
direct
0.087 0.087 0.455
0.375 0.375 0.068
0.625 0.625 0.932
0.913 0.913 0.545
0.000 0.000 0.000
0.251 0.251 0.293
0.749 0.749 0.707
```

Volume = 129.60 Å³/cell
Energy of formation from the pure elements = -31.1 kJ/mol of atoms
Density = 11.12 g/cm3
Fermi-level density of states = 2.02 states/eV per cell

Record 4
Below is a geometry-optimized GaPt2Au structure, with properties calculated at the GGA-PBE level.

The structure in POSCAR format:
```
GaPt2Au
1.0
-3.577 3.577 2.701
3.577 -3.577 2.701
3.577 3.577 -2.701
Ga Pt Au
2 4 2
direct
0.000 0.000 0.000
0.750 0.250 0.500
0.095 0.625 0.970
0.375 0.345 0.470
0.655 0.125 0.030
0.875 0.905 0.530
0.250 0.750 0.500
0.500 0.500 0.000
```

Volume = 138.24 Å³/cell
Energy of formation from the pure elements = -17.5 kJ/mol of atoms
Density = 15.78 g/cm3
Fermi-level density of states = 1.96 states/eV per cell

Record 5
Below is a geometry-optimized Pu2Ga3Pt4Au structure, with properties calculated at the GGA-PBE level.

The structure in POSCAR format:
```
Pu2Ga3Pt4Au
1.0
4.062 0.000 0.000
0.000 4.062 0.000
0.000 0.000 11.732
Pu Ga Pt Au
2 3 4 1
direct
0.000 0.500 0.243
0.500 0.000 0.757
0.000 0.000 0.000
0.000 0.500 0.628
0.500 0.000 0.372
0.000 0.000 0.500
0.000 0.500 0.837
0.500 0.000 0.163
0.500 0.500 0.500
0.500 0.500 0.000
```

Volume = 193.56 Å³/cell
Energy of formation from the pure elements = -66.5 kJ/mol of atoms
Density = 14.37 g/cm3
Fermi-level density of states = 25.22 states/eV per cell

Record 6
Below is a geometry-optimized Pu2Ga4Pt3Au structure, with properties calculated at the GGA-PBE level.

The structure in POSCAR format:
```
Pu2Ga4Pt3Au
1.0
4.246 0.000 0.000
0.000 4.246 0.000
0.000 0.000 10.787
Pu Ga Pt Au
2 4 3 1
direct
0.000 0.500 0.244
0.500 0.000 0.756
0.000 0.000 0.000
0.000 0.500 0.636
0.500 0.000 0.364
0.500 0.500 0.000
0.000 0.500 0.866
0.500 0.000 0.134
0.500 0.500 0.500
0.000 0.000 0.500
```

Volume = 194.44 Å³/cell
Energy of formation from the pure elements = -64.1 kJ/mol of atoms
Density = 13.23 g/cm3
Fermi-level density of states = 28.63 states/eV per cell

Record 7
Below is a geometry-optimized PuGa4PtAu2 structure, with properties calculated at the GGA-PBE level.

The structure in POSCAR format:
```
PuGa4PtAu2
1.0
2.214 1.278 9.000
-2.214 1.278 9.000
0.000 -2.557 9.000
Pu Ga Pt Au
1 4 1 2
direct
0.000 0.000 0.000
0.133 0.133 0.133
0.401 0.401 0.401
0.599 0.599 0.599
0.867 0.867 0.867
0.500 0.500 0.500
0.257 0.257 0.257
0.743 0.743 0.743
```

Volume = 152.83 Å³/cell
Energy of formation from the pure elements = -35.9 kJ/mol of atoms
Density = 12.08 g/cm3
Fermi-level density of states = 14.41 states/eV per cell

Record 8
Below is a geometry-optimized Pu4GaPtAu2 structure, with properties calculated at the GGA-PBE level.

The structure in POSCAR format:
```
Pu4GaPtAu2
1.0
2.558 1.477 8.238
-2.558 1.477 8.238
0.000 -2.954 8.238
Pu Ga Pt Au
4 1 1 2
direct
0.118 0.118 0.118
0.369 0.369 0.369
0.631 0.631 0.631
0.882 0.882 0.882
0.500 0.500 0.500
0.000 0.000 0.000
0.241 0.241 0.241
0.759 0.759 0.759
```

Volume = 186.79 Å³/cell
Energy of formation from the pure elements = -42.9 kJ/mol of atoms
Density = 14.53 g/cm3
Fermi-level density of states = 33.61 states/eV per cell

Record 9
Below is a geometry-optimized Pu2Ga6PtAu structure, with properties calculated at the GGA-PBE level.

The structure in POSCAR format:
```
Pu2Ga6PtAu
1.0
5.294 0.000 0.000
2.640 6.155 0.000
2.639 1.288 6.038
Pu Ga Pt Au
2 6 1 1
direct
0.007 0.238 0.249
0.993 0.762 0.751
0.008 0.308 0.680
0.320 0.934 0.926
0.496 0.691 0.321
0.504 0.309 0.679
0.680 0.066 0.074
0.992 0.692 0.320
0.500 0.000 0.500
0.500 0.500 0.000
```

Volume = 196.76 Å³/cell
Energy of formation from the pure elements = -35.4 kJ/mol of atoms
Density = 10.96 g/cm3
Fermi-level density of states = 23.56 states/eV per cell

Record 10
Below is a geometry-optimized GaRe2PtAu structure, with properties calculated at the GGA-PBE level.

The structure in POSCAR format:
```
GaRe2PtAu
1.0
4.591 0.000 0.000
0.000 4.591 0.000
0.000 0.000 4.550
Ga Re Pt Au
1 2 1 1
direct
0.000 0.000 0.000
0.000 0.500 0.000
0.500 0.000 0.000
0.500 0.500 0.500
0.000 0.000 0.500
```

Volume = 95.90 Å³/cell
Energy of formation from the pure elements = 172.2 kJ/mol of atoms
Density = 14.44 g/cm3
Fermi-level density of states = 6.18 states/eV per cell

Record 11
Below is a geometry-optimized SmGa2PtAu structure, with properties calculated at the GGA-PBE level.

The structure in POSCAR format:
```
SmGa2PtAu
1.0
2.164 -6.980 0.000
2.164 6.980 0.000
0.000 0.000 6.906
Sm Ga Pt Au
2 4 2 2
direct
0.113 0.887 0.750
0.887 0.113 0.250
0.320 0.680 0.552
0.320 0.680 0.948
0.680 0.320 0.052
0.680 0.320 0.448
0.209 0.791 0.250
0.791 0.209 0.750
0.500 0.500 0.000
0.500 0.500 0.500
```

Volume = 208.63 Å³/cell
Energy of formation from the pure elements = -68.1 kJ/mol of atoms
Density = 10.85 g/cm3
Fermi-level density of states = 5.45 states/eV per cell

Record 12
Below is a geometry-optimized SmGaPt3Au structure, with properties calculated at the GGA-PBE level.

The structure in POSCAR format:
```
SmGaPt3Au
1.0
3.519 -6.009 0.000
3.519 6.009 0.000
0.000 0.000 5.756
Sm Ga Pt Au
2 2 6 2
direct
0.194 0.806 0.750
0.806 0.194 0.250
0.131 0.869 0.250
0.869 0.131 0.750
0.198 0.198 0.000
0.198 0.198 0.500
0.332 0.668 0.250
0.668 0.332 0.750
0.802 0.802 0.000
0.802 0.802 0.500
0.429 0.571 0.750
0.571 0.429 0.250
```

Volume = 243.46 Å³/cell
Energy of formation from the pure elements = -49.2 kJ/mol of atoms
Density = 13.67 g/cm3
Fermi-level density of states = 8.55 states/eV per cell